i.
Compound: TaNiN2F
Source: Alexandria
Functional: PBE with a Hubbard U
Structure: optimized geometry

a = 4.061 Å, b = 4.061 Å, c = 3.976 Å
α = 90.00°, β = 90.00°, γ = 90.00°
Each line ends with the local moment (μB).
Positions (direct):
Ni1 0.500 0.500 0.500  1.51
N1 0.000 0.500 0.000  0.07
N2 0.500 0.000 0.000  0.07
F1 0.000 0.000 0.500  0.00
Ta1 0.000 0.000 0.000  -0.01

- space-group type = No. 123

=====

ii.
Compound: TaNiN2F
Source: Alexandria
Functional: PBE with a Hubbard U
Structure: optimized geometry

a = 3.768 Å, b = 3.768 Å, c = 3.489 Å
α = 90.00°, β = 90.00°, γ = 90.00°
Positions (direct):
Ni1 0.000 0.000 0.000
N1 0.000 0.500 0.000
N2 0.500 0.000 0.000
F1 0.000 0.000 0.500
Ta1 0.500 0.500 0.500

- space-group type = No. 123

=====

Stability, highest: i

=====

i.
Compound: NiTe2NF
Source: Alexandria
Functional: PBE with a Hubbard U
Structure: optimized geometry

a = 4.789 Å, b = 4.789 Å, c = 3.827 Å
α = 90.00°, β = 90.00°, γ = 90.00°
Positions (direct):
Ni1 0.500 0.500 0.500
N1 0.000 0.000 0.500
Te1 0.000 0.500 0.000
Te2 0.500 0.000 0.000
F1 0.000 0.000 0.000

- space-group type = No. 123

=====

ii.
Compound: NiTe2NF
Source: Alexandria
Functional: PBE with a Hubbard U
Structure: optimized geometry

a = 5.215 Å, b = 5.215 Å, c = 3.357 Å
α = 90.00°, β = 90.00°, γ = 90.00°
Positions (direct):
Ni1 0.000 0.000 0.000
N1 0.000 0.000 0.500
Te1 0.000 0.500 0.000
Te2 0.500 0.000 0.000
F1 0.500 0.500 0.500

- space-group type = No. 123

=====

Stability, highest: ii

=====

i.
Compound: TiNiNF2
Source: Alexandria
Functional: PBE with a Hubbard U
Structure: optimized geometry

a = 3.447 Å, b = 5.804 Å, c = 3.447 Å
α = 90.00°, β = 90.00°, γ = 90.00°
Each line ends with the local moment (μB).
Positions (direct):
Ni1 0.000 0.000 0.000  1.06
N1 0.500 0.500 0.500  0.28
F1 0.000 0.000 0.500  -0.02
F2 0.500 0.000 0.000  -0.02
Ti1 0.000 0.500 0.000  -0.86

- space-group type = No. 123

=====

ii.
Compound: TiNiNF2
Source: Alexandria
Functional: PBE with a Hubbard U
Structure: optimized geometry

a = 3.930 Å, b = 3.930 Å, c = 3.926 Å
α = 90.00°, β = 90.00°, γ = 90.00°
Each line ends with the local moment (μB).
Positions (direct):
Ni1 0.500 0.500 0.500  0.97
N1 0.000 0.000 0.500  -0.01
F1 0.000 0.500 0.000  0.00
F2 0.500 0.000 0.000  0.00
Ti1 0.000 0.000 0.000  0.01

- space-group type = No. 123

=====

iii.
Compound: TiNiNF2
Source: Alexandria
Functional: PBE with a Hubbard U
Structure: optimized geometry

a = 3.666 Å, b = 3.666 Å, c = 4.344 Å
α = 90.00°, β = 90.00°, γ = 90.00°
Each line ends with the local moment (μB).
Positions (direct):
Ni1 0.000 0.000 0.000  1.73
N1 0.000 0.000 0.500  -0.19
F1 0.000 0.500 0.000  0.06
F2 0.500 0.000 0.000  0.06
Ti1 0.500 0.500 0.500  1.26

- space-group type = No. 123

=====

Stability, highest: ii

=====

i.
Compound: TlNiNF2
Source: Alexandria
Functional: PBE with a Hubbard U
Structure: optimized geometry

a = 4.577 Å, b = 4.577 Å, c = 4.151 Å
α = 90.00°, β = 90.00°, γ = 90.00°
Each line ends with the local moment (μB).
Positions (direct):
Ni1 0.500 0.500 0.500  1.01
Tl1 0.000 0.000 0.000  0.00
N1 0.000 0.000 0.500  0.66
F1 0.000 0.500 0.000  0.01
F2 0.500 0.000 0.000  0.01

- space-group type = No. 123

=====

ii.
Compound: TlNiNF2
Source: Alexandria
Functional: PBE with a Hubbard U
Structure: optimized geometry

a = 3.893 Å, b = 3.893 Å, c = 4.286 Å
α = 90.00°, β = 90.00°, γ = 90.00°
Each line ends with the local moment (μB).
Positions (direct):
Ni1 0.000 0.000 0.000  1.71
Tl1 0.500 0.500 0.500  0.00
N1 0.000 0.000 0.500  -0.05
F1 0.000 0.500 0.000  0.03
F2 0.500 0.000 0.000  0.03

- space-group type = No. 123

=====

Stability, highest: ii